Material: Y2ThPaC4
Method: DFT, GGA-PBE
State: optimized geometry

a = 3.6769 Å, b = 6.2609 Å, c = 6.3351 Å
α = 70.64°, β = 90.00°, γ = 90.00°
Positions (direct):
Y 0.0000 0.0000 0.0000
Y 0.5000 0.0000 0.5000
Th 0.0000 0.5000 0.5000
Pa 0.5000 0.5000 0.0000
C 0.0000 0.7316 0.7661
C 0.0000 0.2684 0.2339
C 0.5000 0.7375 0.2395
C 0.5000 0.2625 0.7605

Output
Theoretical density (kg/m³): 8314
E_form (eV/atom): -0.264

---

Material: YThPa2C4
Method: DFT, GGA-PBE
State: optimized geometry

a = 3.6646 Å, b = 6.3143 Å, c = 6.3421 Å
α = 70.36°, β = 90.00°, γ = 90.00°
Positions (direct):
Y 0.0000 0.5000 0.5000
Th 0.5000 0.5000 0.0000
Pa 0.0000 0.0000 0.0000
Pa 0.5000 0.0000 0.5000
C 0.0000 0.7752 0.7412
C 0.0000 0.2248 0.2588
C 0.5000 0.7752 0.2403
C 0.5000 0.2248 0.7597

Output
Theoretical density (kg/m³): 9984
E_form (eV/atom): -0.393

---

Material: ThZrPa2C4
Method: DFT, GGA-PBE
State: optimized geometry

a = 3.5809 Å, b = 6.2626 Å, c = 6.2139 Å
α = 109.81°, β = 90.00°, γ = 90.00°
Positions (direct):
Th 0.5000 0.5000 0.0000
Zr 0.0000 0.0000 0.0000
Pa 0.5000 0.0000 0.5000
Pa 0.0000 0.5000 0.5000
C 0.5000 0.2412 0.2543
C 0.5000 0.7588 0.7457
C 0.0000 0.2307 0.7368
C 0.0000 0.7693 0.2632

Output
Theoretical density (kg/m³): 10555
E_form (eV/atom): -0.439

---

Material: ThZr2PaC4
Method: DFT, GGA-PBE
State: optimized geometry

a = 3.5142 Å, b = 6.1453 Å, c = 6.0870 Å
α = 70.87°, β = 90.00°, γ = 90.00°
Positions (direct):
Th 0.5000 0.5000 0.0000
Zr 0.0000 0.0000 0.0000
Zr 0.5000 0.0000 0.5000
Pa 0.0000 0.5000 0.5000
C 0.0000 0.7676 0.7331
C 0.0000 0.2324 0.2669
C 0.5000 0.7638 0.2544
C 0.5000 0.2362 0.7456

Output
Theoretical density (kg/m³): 9273
E_form (eV/atom): -0.513

---

Material: PaTiC2
Method: DFT, GGA-PBE
State: optimized geometry

a = 3.3344 Å, b = 3.3344 Å, c = 5.8577 Å
α = 73.46°, β = 73.46°, γ = 60.00°
Positions (direct):
C 0.2598 0.2598 0.2207
C 0.7402 0.7402 0.7793
Pa 0.5000 0.5000 0.5000
Ti 0.0000 0.0000 0.0000

Output
Theoretical density (kg/m³): 9443
E_form (eV/atom): -0.490

---

Material: PaTiC
Method: DFT, GGA-PBE
State: optimized geometry

a = 3.1958 Å, b = 3.2028 Å, c = 11.6068 Å
α = 105.31°, β = 105.75°, γ = 60.17°
Positions (direct):
Ti 0.7576 0.7360 0.3844
Ti 0.2424 0.2640 0.6156
C 0.3586 0.3403 0.2866
C 0.6414 0.6597 0.7134
Pa 0.9272 0.9169 0.1416
Pa 0.0728 0.0831 0.8584

Output
Theoretical density (kg/m³): 9859
E_form (eV/atom): -0.344

---

Material: PaTiC
Method: DFT, GGA-PBE
State: optimized geometry

a = 5.7350 Å, b = 3.1977 Å, c = 3.1977 Å
α = 120.00°, β = 90.00°, γ = 90.00°
Positions (direct):
C 0.2963 0.3333 0.6667
Pa 0.5837 0.6667 0.3333
Ti 0.1200 0.0000 0.0000

Output
Theoretical density (kg/m³): 9512
E_form (eV/atom): -0.298

---

Material: PaTi3C
Method: DFT, GGA-PBE
State: optimized geometry

a = 4.3293 Å, b = 4.3293 Å, c = 4.3293 Å
α = 90.00°, β = 90.00°, γ = 90.00°
Positions (direct):
C 0.0000 0.0000 0.0000
Pa 0.5000 0.5000 0.5000
Ti 0.0000 0.5000 0.0000
Ti 0.0000 0.0000 0.5000
Ti 0.5000 0.0000 0.0000

Output
Theoretical density (kg/m³): 7912
E_form (eV/atom): -0.069